AgSb5Pt3, optimized geometry, DFT GGA-PBE; E_tot = -4.62 eV/atom; symmetry = No. 191; theoretical density = 9.750 Mg/m³
1.0
5.6224 0.0000 0.0000
-2.8112 4.8691 0.0000
0.0000 0.0000 8.0993
Ag Sb Pt
1 5 3
Direct
0.0000 0.0000 0.0000 Ag
0.0000 0.0000 0.5000 Sb
0.3333 0.6667 0.2089 Sb
0.3333 0.6667 0.7911 Sb
0.6667 0.3333 0.2089 Sb
0.6667 0.3333 0.7911 Sb
0.0000 0.5000 0.5000 Pt
0.5000 0.0000 0.5000 Pt
0.5000 0.5000 0.5000 Pt

=====

Ag2SbPt, optimized geometry, DFT GGA-PBE; E_tot = -4.01 eV/atom; symmetry = No. 216; theoretical density = 11.926 Mg/m³
1.0
0.0000 3.3345 3.3345
3.3345 0.0000 3.3345
3.3345 3.3345 0.0000
Ag Sb Pt
2 1 1
Direct
0.0000 0.0000 0.0000 Ag
0.2500 0.2500 0.2500 Ag
0.5000 0.5000 0.5000 Sb
0.7500 0.7500 0.7500 Pt

=====

AgSb2Pt, optimized geometry, DFT GGA-PBE; E_tot = -4.07 eV/atom; symmetry = No. 216; theoretical density = 10.568 Mg/m³
1.0
0.0000 3.5016 3.5016
3.5016 0.0000 3.5016
3.5016 3.5016 0.0000
Ag Sb Pt
1 2 1
Direct
0.0000 0.0000 0.0000 Ag
0.2500 0.2500 0.2500 Sb
0.5000 0.5000 0.5000 Sb
0.7500 0.7500 0.7500 Pt

=====

AgSbPtSe3, optimized geometry, DFT GGA-PBE; E_tot = -4.16 eV/atom; symmetry = No. 19; theoretical density = 7.352 Mg/m³
1.0
5.1426 0.0000 0.0000
0.0000 8.3415 0.0000
0.0000 0.0000 13.9342
Ag Sb Pt Se
4 4 4 12
Direct
0.0481 0.0966 0.4556 Ag
0.4519 0.9034 0.9556 Ag
0.5481 0.4034 0.5444 Ag
0.9519 0.5966 0.0444 Ag
0.0723 0.1349 0.1463 Sb
0.4277 0.8651 0.6463 Sb
0.5723 0.3651 0.8537 Sb
0.9277 0.6349 0.3537 Sb
0.0320 0.6480 0.7432 Pt
0.4680 0.3520 0.2432 Pt
0.5320 0.8520 0.2568 Pt
0.9680 0.1480 0.7568 Pt
0.2037 0.1637 0.9136 Se
0.2291 0.3865 0.7037 Se
0.2410 0.3740 0.3979 Se
0.2590 0.6260 0.8979 Se
0.2709 0.6135 0.2037 Se
0.2963 0.8363 0.4136 Se
0.7037 0.3363 0.0864 Se
0.7291 0.1135 0.2963 Se
0.7410 0.1260 0.6021 Se
0.7590 0.8740 0.1021 Se
0.7709 0.8865 0.7963 Se
0.7963 0.6637 0.5864 Se

=====

What did the fourth record say?
AgSbPtSe3, optimized geometry, DFT GGA-PBE; E_tot = -4.16 eV/atom; symmetry = No. 19; theoretical density = 7.352 Mg/m³
1.0
5.1426 0.0000 0.0000
0.0000 8.3415 0.0000
0.0000 0.0000 13.9342
Ag Sb Pt Se
4 4 4 12
Direct
0.0481 0.0966 0.4556 Ag
0.4519 0.9034 0.9556 Ag
0.5481 0.4034 0.5444 Ag
0.9519 0.5966 0.0444 Ag
0.0723 0.1349 0.1463 Sb
0.4277 0.8651 0.6463 Sb
0.5723 0.3651 0.8537 Sb
0.9277 0.6349 0.3537 Sb
0.0320 0.6480 0.7432 Pt
0.4680 0.3520 0.2432 Pt
0.5320 0.8520 0.2568 Pt
0.9680 0.1480 0.7568 Pt
0.2037 0.1637 0.9136 Se
0.2291 0.3865 0.7037 Se
0.2410 0.3740 0.3979 Se
0.2590 0.6260 0.8979 Se
0.2709 0.6135 0.2037 Se
0.2963 0.8363 0.4136 Se
0.7037 0.3363 0.0864 Se
0.7291 0.1135 0.2963 Se
0.7410 0.1260 0.6021 Se
0.7590 0.8740 0.1021 Se
0.7709 0.8865 0.7963 Se
0.7963 0.6637 0.5864 Se